i:
5
Lattice="4.683 0.000 0.000 0.000 3.545 0.000 0.000 0.000 4.683" Properties=species:S:1:pos:R:3 comment="MnNb2TcC GGA-PBE optimized geometry" magnetic_moment_mub_per_fu=0.0 pbc="T T T"
Nb 0.000 0.000 2.341
Nb 2.341 0.000 0.000
Tc 2.341 1.772 2.341
Mn 0.000 0.000 0.000
C 0.000 1.772 0.000

ii:
5
Lattice="4.401 0.000 0.000 0.000 4.401 0.000 0.000 0.000 3.604" Properties=species:S:1:pos:R:3 comment="MnNb2TcC GGA-PBE optimized geometry" magnetic_moment_mub_per_fu=0.0 pbc="T T T"
Nb 0.000 2.201 0.000
Nb 2.201 0.000 0.000
Mn 0.000 0.000 1.802
C 0.000 0.000 0.000
Tc 2.201 2.201 1.802

Relative calculated energies, zero for the most stable structure, unit eV/atom: i 1.125; ii 0.000.

i:
8
Lattice="-2.230 1.993 -3.133 1.786 -2.628 -2.943 -3.456 -3.106 -2.510" Properties=species:S:1:pos:R:3 comment="MnNiC2 GGA-PBE optimized geometry" magnetic_moment_mub_per_fu=0.4 pbc="T T T"
C -0.062 -2.138 -2.909
C -3.009 -2.844 -7.152
C -2.730 -2.610 -4.208
C -1.999 0.109 -2.903
Mn -0.222 -0.318 -3.038
Mn -0.946 -3.026 -4.246
Ni 0.000 0.000 0.000
Ni -2.954 -0.715 -4.340

ii:
4
Lattice="3.319 -1.150 0.528 0.589 -3.401 0.836 1.523 -2.171 -2.362" Properties=species:S:1:pos:R:3 comment="MnNiC2 GGA-PBE optimized geometry" magnetic_moment_mub_per_fu=1.0 pbc="T T T"
Mn 0.000 0.000 0.000
Ni 2.715 -3.361 -0.499
C 1.358 -1.681 -0.249
C 4.073 -5.042 -0.748

Relative calculated energies, zero for the most stable structure, unit eV/atom: i 0.000; ii 0.540.

i:
5
Lattice="3.698 0.000 0.000 0.000 3.698 0.000 0.000 0.000 3.698" Properties=species:S:1:pos:R:3 comment="MnNiC3 GGA-PBE optimized geometry" magnetic_moment_mub_per_fu=0.0 pbc="T T T"
C 0.000 1.849 0.000
C 0.000 0.000 1.849
C 1.849 0.000 0.000
Ni 1.849 1.849 1.849
Mn 0.000 0.000 0.000

ii:
5
Lattice="3.744 0.000 0.000 0.000 3.744 0.000 0.000 0.000 3.744" Properties=species:S:1:pos:R:3 comment="MnNiC3 GGA-PBE optimized geometry" magnetic_moment_mub_per_fu=3.6 pbc="T T T"
C 0.000 1.872 0.000
C 0.000 0.000 1.872
C 1.872 0.000 0.000
Mn 1.872 1.872 1.872
Ni 0.000 0.000 0.000

Relative calculated energies, zero for the most stable structure, unit eV/atom: i 0.000; ii 0.329.